A plane-wave DFT calculation with PBE was carried out for a relaxed Tb2Nd2Pt15 crystal.

Results
ρ ... 16.6 g cm⁻³
Calculated formation energy ... -0.724 eV per atom
Symmetry ... R-3m
Total moment ... 0.0 μB/f.u.

a b c (Å): 7.121 7.121 7.121
angles (deg): 82.42 82.42 82.42
Fractional positions:
1 Tb 0.107 0.107 0.107
2 Tb 0.893 0.893 0.893
3 Nd 0.358 0.358 0.358
4 Nd 0.642 0.642 0.642
5 Pt 0.000 0.000 0.500
6 Pt 0.000 0.312 0.688
7 Pt 0.000 0.500 0.000
8 Pt 0.000 0.688 0.312
9 Pt 0.161 0.653 0.653
10 Pt 0.312 0.000 0.688
11 Pt 0.312 0.688 0.000
12 Pt 0.347 0.347 0.839
13 Pt 0.347 0.839 0.347
14 Pt 0.500 0.000 0.000
15 Pt 0.653 0.161 0.653
16 Pt 0.653 0.653 0.161
17 Pt 0.688 0.000 0.312
18 Pt 0.688 0.312 0.000
19 Pt 0.839 0.347 0.347